1.
Compound: Al2FeSe
Source: Alexandria
Functional: GGA-PBE
Structure: relaxed

Values from the calculation:
volume = 63 Å³ per cell
total moment = 0.368 μB/atom
formation energy from raw total energies = -36 meV per atom
calculated total energy = -4.89 eV per atom

Cell: 7.7528 7.7528 7.7528 Å, 23.06 23.06 23.06°
Last column: magnetic moment on the atom in μB.
Fractional coordinates of all 4 atoms:
Al 0.5066 0.5066 0.5066  -0.03
Al 0.9934 0.9934 0.9934  -0.03
Fe 0.2500 0.2500 0.2500  1.65
Se 0.7500 0.7500 0.7500  0.01



2.
Compound: Al4FeSe
Source: Alexandria
Functional: GGA-PBE
Structure: relaxed

Values from the calculation:
volume = 103 Å³ per cell
total moment = 0.471 μB/atom
formation energy from raw total energies = 319 meV per atom
calculated total energy = -4.17 eV per atom

Cell: 5.2553 5.2553 5.2553 Å, 60.00 60.00 60.00°
Last column: magnetic moment on the atom in μB.
Fractional coordinates of all 6 atoms:
Fe 0.2500 0.2500 0.2500  2.88
Al 0.1282 0.6239 0.6239  -0.01
Al 0.6239 0.6239 0.6239  -0.01
Al 0.6239 0.6239 0.1282  -0.01
Al 0.6239 0.1282 0.6239  -0.01
Se 0.0000 0.0000 0.0000  0.06



3.
Compound: AlFe2Se
Source: Alexandria
Functional: GGA-PBE
Structure: relaxed

Values from the calculation:
volume = 126 Å³ per cell
total moment = 1.360 μB/atom
formation energy from raw total energies = 374 meV per atom
energy relative to the lowest polymorph listed for this composition = 407 meV/atom
calculated total energy = -5.66 eV per atom

Cell: 6.9545 6.9545 5.5681 Å, 51.35 51.35 90.00°
Last column: magnetic moment on the atom in μB.
Fractional coordinates of all 8 atoms:
Fe 0.6515 0.1250 0.2500  2.63
Fe 0.8750 0.9015 0.7500  2.63
Fe 0.3750 0.3485 0.7500  2.63
Fe 0.0985 0.6250 0.2500  2.63
Se 0.7500 0.2500 0.5000  0.09
Se 0.0000 0.0000 0.0000  0.09
Al 0.5000 0.5000 0.0000  -0.03
Al 0.2500 0.7500 0.5000  -0.03



4.
Compound: AlFe2Se
Source: Alexandria
Functional: GGA-PBE
Structure: relaxed

Values from the calculation:
volume = 57 Å³ per cell
total moment = 1.172 μB/atom
formation energy from raw total energies = 245 meV per atom
energy relative to the lowest polymorph listed for this composition = 278 meV/atom
calculated total energy = -5.79 eV per atom

Cell: 4.3241 4.3241 4.3241 Å, 60.00 60.00 60.00°
Last column: magnetic moment on the atom in μB.
Fractional coordinates of all 4 atoms:
Al 0.5000 0.5000 0.5000  -0.06
Fe 0.2500 0.2500 0.2500  2.41
Fe 0.0000 0.0000 0.0000  2.44
Se 0.7500 0.7500 0.7500  0.07



5.
Compound: Al2FeSe
Source: Alexandria
Functional: GGA-PBE
Structure: relaxed

Values from the calculation:
volume = 61 Å³ per cell
total moment = 0.490 μB/atom
formation energy from raw total energies = 80 meV per atom
calculated total energy = -4.78 eV per atom

Cell: 4.5638 4.5638 3.1159 Å, 90.00 90.00 108.76°
Last column: magnetic moment on the atom in μB.
Fractional coordinates of all 4 atoms:
Al 0.0000 0.0000 0.0000  -0.02
Al 0.5000 0.5000 0.0000  -0.02
Fe 0.5000 0.0000 0.5000  1.99
Se 0.0000 0.5000 0.5000  0.04



6.
Compound: AlFe2Se
Source: Alexandria
Functional: GGA-PBE
Structure: relaxed

Values from the calculation:
volume = 57 Å³ per cell
total moment = 0.906 μB/atom
formation energy from raw total energies = 17 meV per atom
energy relative to the lowest polymorph listed for this composition = 51 meV/atom
calculated total energy = -6.02 eV per atom

Cell: 5.6031 5.6031 5.6031 Å, 149.60 139.78 51.24°
Last column: magnetic moment on the atom in μB.
Fractional coordinates of all 4 atoms:
Al 0.2791 0.7791 0.5000  -0.04
Se 0.5437 0.5437 0.0000  0.00
Fe 0.9476 0.9476 0.0000  2.48
Fe 0.7296 0.2296 0.5000  1.27